(1)
PuTh3Hg4 | GGA-PBE | optimized geometry

Values from the calculation:
The symmetry is P4/mmm. The value obtained for the spin magnetization is 6.18 μB per formula unit.

Cell: 3.817 3.817 15.214 Å, 90.00 90.00 90.00°
Element x y z (fractional)
Pu1 0.000 0.000 0.000
Th1 0.000 0.000 0.247
Th2 0.000 0.000 0.500
Th3 0.000 0.000 0.753
Hg1 0.500 0.500 0.121
Hg2 0.500 0.500 0.373
Hg3 0.500 0.500 0.627
Hg4 0.500 0.500 0.879

(2)
PuTh2Hg6 | GGA-PBE | optimized geometry

Values from the calculation:
The symmetry is P6/mmm. The value obtained for the spin magnetization is 5.89 μB per formula unit.

Cell: 8.842 8.842 3.343 Å, 90.00 90.00 120.00°
Element x y z (fractional)
Pu1 0.000 0.000 0.000
Th1 0.333 0.667 0.000
Th2 0.667 0.333 0.000
Hg1 0.000 0.332 0.500
Hg2 0.000 0.668 0.500
Hg3 0.332 0.000 0.500
Hg4 0.332 0.332 0.500
Hg5 0.668 0.000 0.500
Hg6 0.668 0.668 0.500

(3)
PuThHg3 | GGA-PBE | optimized geometry

Values from the calculation:
The symmetry is P6_3/mmc. The value obtained for the spin magnetization is 5.90 μB per formula unit.

Cell: 7.546 7.546 5.730 Å, 90.00 90.00 120.00°
Element x y z (fractional)
Pu1 0.000 0.000 0.000
Pu2 0.000 0.000 0.500
Th1 0.333 0.667 0.250
Th2 0.667 0.333 0.750
Hg1 0.204 0.408 0.750
Hg2 0.204 0.796 0.750
Hg3 0.408 0.204 0.250
Hg4 0.592 0.796 0.750
Hg5 0.796 0.204 0.250
Hg6 0.796 0.592 0.250

(4)
PuTh4Hg2 | GGA-PBE | optimized geometry

Values from the calculation:
The symmetry is I4/mmm. The value obtained for the spin magnetization is 5.56 μB per formula unit.

Cell: 6.510 6.510 6.510 Å, 110.55 110.55 107.34°
Element x y z (fractional)
Pu1 0.000 0.000 0.000
Th1 0.000 0.000 0.500
Th2 0.000 0.500 0.000
Th3 0.500 0.000 0.000
Th4 0.500 0.500 0.500
Hg1 0.000 0.500 0.500
Hg2 0.500 0.000 0.500

(5)
PuTh5Hg4 | GGA-PBE | optimized geometry

Values from the calculation:
The symmetry is P4/mmm. The value obtained for the spin magnetization is 5.40 μB per formula unit.

Cell: 3.483 3.483 22.940 Å, 90.00 90.00 90.00°
Element x y z (fractional)
Pu1 0.000 0.000 0.000
Th1 0.500 0.500 0.102
Th2 0.500 0.500 0.302
Th3 0.500 0.500 0.500
Th4 0.500 0.500 0.698
Th5 0.500 0.500 0.898
Hg1 0.000 0.000 0.203
Hg2 0.000 0.000 0.401
Hg3 0.000 0.000 0.599
Hg4 0.000 0.000 0.797

(6)
TmPuThHg | GGA-PBE | optimized geometry

Values from the calculation:
The symmetry is F-43m. The value obtained for the spin magnetization is 7.63 μB per formula unit.

Cell: 5.344 5.344 5.344 Å, 60.00 60.00 60.00°
Element x y z (fractional)
Tm1 0.000 0.000 0.000
Pu1 0.250 0.250 0.250
Th1 0.500 0.500 0.500
Hg1 0.750 0.750 0.750

(7)
YPuThHg | GGA-PBE | optimized geometry

Values from the calculation:
The symmetry is F-43m. The value obtained for the spin magnetization is 7.54 μB per formula unit.

Cell: 5.380 5.380 5.380 Å, 60.00 60.00 60.00°
Element x y z (fractional)
Y1 0.000 0.000 0.000
Pu1 0.250 0.250 0.250
Th1 0.500 0.500 0.500
Hg1 0.750 0.750 0.750

(8)
Pu2TiHg | GGA-PBE | optimized geometry

Values from the calculation:
The symmetry is P4/mmm. The value obtained for the spin magnetization is 10.63 μB per formula unit.

Cell: 4.251 4.251 4.879 Å, 90.00 90.00 90.00°
Element x y z (fractional)
Pu1 0.000 0.500 0.000
Pu2 0.500 0.000 0.000
Ti1 0.000 0.000 0.500
Hg1 0.500 0.500 0.500

(9)
PuTiHg | GGA-PBE | optimized geometry

Values from the calculation:
The symmetry is I4mm. The value obtained for the spin magnetization is 4.68 μB per formula unit.

Cell: 7.112 7.112 7.112 Å, 154.98 154.98 35.67°
Element x y z (fractional)
Pu1 0.000 0.000 0.000
Ti1 0.336 0.336 0.000
Hg1 0.688 0.688 0.000

(10)
PuTiHg | GGA-PBE | optimized geometry

Values from the calculation:
The symmetry is P2_1/m. The value obtained for the spin magnetization is 0.07 μB per formula unit.

Cell: 4.102 3.352 9.258 Å, 90.00 96.26 90.00°
Element x y z (fractional)
Pu1 0.139 0.250 0.066
Pu2 0.861 0.750 0.934
Ti1 0.242 0.750 0.476
Ti2 0.758 0.250 0.524
Hg1 0.317 0.250 0.740
Hg2 0.683 0.750 0.260

(11)
PuTi2Hg | GGA-PBE | optimized geometry

Values from the calculation:
The symmetry is P4/mmm. The value obtained for the spin magnetization is 5.45 μB per formula unit.

Cell: 4.905 4.905 3.166 Å, 90.00 90.00 90.00°
Element x y z (fractional)
Pu1 0.000 0.000 0.000
Ti1 0.000 0.500 0.500
Ti2 0.500 0.000 0.500
Hg1 0.500 0.500 0.000

(12)
PuTi2Hg | GGA-PBE | optimized geometry

Values from the calculation:
The symmetry is P4/mmm. The value obtained for the spin magnetization is 5.11 μB per formula unit.

Cell: 3.167 3.167 7.832 Å, 90.00 90.00 90.00°
Element x y z (fractional)
Pu1 0.000 0.000 0.000
Ti1 0.500 0.500 0.257
Ti2 0.500 0.500 0.743
Hg1 0.000 0.000 0.500

(13)
Pu2TiHg | GGA-PBE | optimized geometry

Values from the calculation:
The symmetry is P4/mmm. The value obtained for the spin magnetization is 13.10 μB per formula unit.

Cell: 3.938 3.938 6.187 Å, 90.00 90.00 90.00°
Element x y z (fractional)
Pu1 0.000 0.000 0.246
Pu2 0.000 0.000 0.754
Ti1 0.500 0.500 0.000
Hg1 0.500 0.500 0.500

(14)
PuTiTlHg | GGA-PBE | optimized geometry

Values from the calculation:
The symmetry is F-43m. The value obtained for the spin magnetization is 7.37 μB per formula unit.

Cell: 5.127 5.127 5.127 Å, 60.00 60.00 60.00°
Element x y z (fractional)
Pu1 0.000 0.000 0.000
Ti1 0.500 0.500 0.500
Tl1 0.250 0.250 0.250
Hg1 0.750 0.750 0.750

(15)
PuTlHg6 | GGA-PBE | optimized geometry

Values from the calculation:
The symmetry is Amm2. The value obtained for the spin magnetization is 6.11 μB per formula unit.

Cell: 5.263 6.804 6.804 Å, 60.10 90.00 90.00°
Element x y z (fractional)
Pu1 0.000 0.000 0.000
Tl1 0.500 0.331 0.331
Hg1 0.000 0.504 0.504
Hg2 0.000 0.506 0.987
Hg3 0.000 0.987 0.506
Hg4 0.500 0.332 0.831
Hg5 0.500 0.831 0.332
Hg6 0.500 0.834 0.834

(16)
PuTlHg2 | GGA-PBE | optimized geometry

Values from the calculation:
The symmetry is R3m. The value obtained for the spin magnetization is 6.21 μB per formula unit.

Cell: 10.729 10.729 10.729 Å, 18.49 18.49 18.49°
Element x y z (fractional)
Pu1 0.000 0.000 0.000
Tl1 0.167 0.167 0.167
Hg1 0.584 0.584 0.584
Hg2 0.749 0.749 0.749

(17)
Pu3Tl2Hg4 | GGA-PBE | optimized geometry

Values from the calculation:
The symmetry is C2/m. The value obtained for the spin magnetization is 17.72 μB per formula unit.

Cell: 6.107 6.107 9.580 Å, 121.34 121.34 50.65°
Element x y z (fractional)
Pu1 0.000 0.000 0.000
Pu2 0.333 0.333 0.333
Pu3 0.667 0.667 0.667
Tl1 0.389 0.389 0.723
Tl2 0.611 0.611 0.277
Hg1 0.053 0.053 0.389
Hg2 0.274 0.274 0.945
Hg3 0.726 0.726 0.055
Hg4 0.947 0.947 0.611

(18)
PuTl2Hg6 | GGA-PBE | optimized geometry

Values from the calculation:
The symmetry is P6/mmm. The value obtained for the spin magnetization is 6.10 μB per formula unit.

Cell: 9.130 9.130 3.277 Å, 90.00 90.00 120.00°
Element x y z (fractional)
Pu1 0.000 0.000 0.000
Tl1 0.333 0.667 0.000
Tl2 0.667 0.333 0.000
Hg1 0.000 0.332 0.500
Hg2 0.000 0.668 0.500
Hg3 0.332 0.000 0.500
Hg4 0.332 0.332 0.500
Hg5 0.668 0.000 0.500
Hg6 0.668 0.668 0.500

(19)
PuTlHg2 | GGA-PBE | optimized geometry

Values from the calculation:
The symmetry is R-3m. The value obtained for the spin magnetization is 6.23 μB per formula unit.

Cell: 10.743 10.743 10.743 Å, 18.50 18.50 18.50°
Element x y z (fractional)
Pu1 0.000 0.000 0.000
Tl1 0.500 0.500 0.500
Hg1 0.251 0.251 0.251
Hg2 0.749 0.749 0.749

(20)
Pu4TlHg15 | GGA-PBE | optimized geometry

Values from the calculation:
The symmetry is P4/mmm. The value obtained for the spin magnetization is 13.07 μB per formula unit.

Cell: 4.659 4.659 23.861 Å, 90.00 90.00 90.00°
Element x y z (fractional)
Pu1 0.000 0.000 0.100
Pu2 0.000 0.000 0.299
Pu3 0.000 0.000 0.701
Pu4 0.000 0.000 0.900
Tl1 0.000 0.000 0.500
Hg1 0.000 0.500 0.000
Hg2 0.000 0.500 0.196
Hg3 0.000 0.500 0.395
Hg4 0.000 0.500 0.605
Hg5 0.000 0.500 0.804
Hg6 0.500 0.000 0.000
Hg7 0.500 0.000 0.196
Hg8 0.500 0.000 0.395
Hg9 0.500 0.000 0.605
Hg10 0.500 0.000 0.804
Hg11 0.500 0.500 0.096
Hg12 0.500 0.500 0.294
Hg13 0.500 0.500 0.500
Hg14 0.500 0.500 0.706
Hg15 0.500 0.500 0.904

no.,ΔE_f (meV per atom)
1,-169
2,-234
3,66
4,30
5,-136
6,58
7,48
8,95
9,34
10,301
11,38
12,63
13,152
14,89
15,-60
16,4
17,-108
18,-52
19,4
20,183